Record 1
A plane-wave DFT calculation with PBE was carried out for a geometry-optimized Mn2SbW2 structure.

a = 7.277 Å, b = 7.277 Å, c = 2.906 Å
α = 90.00°, β = 90.00°, γ = 90.00°
Sites, in units of the cell vectors:
1 Mn 0.134 0.366 0.000
2 Mn 0.366 0.866 0.000
3 Mn 0.634 0.134 0.000
4 Mn 0.866 0.634 0.000
5 Sb 0.000 0.000 0.000
6 Sb 0.500 0.500 0.000
7 W 0.150 0.650 0.500
8 W 0.350 0.150 0.500
9 W 0.650 0.850 0.500
10 W 0.850 0.350 0.500

Computed properties:
Energy above the most stable polymorph in this dataset ... 0 meV per atom
Crystal system ... tetragonal
Spin magnetization ... 0.0 μB/f.u.


Record 2
A plane-wave DFT calculation with PBE was carried out for a geometry-optimized Pr4Ho5In structure.

a = 8.171 Å, b = 8.171 Å, c = 8.171 Å
α = 97.33°, β = 97.33°, γ = 138.13°
Sites, in units of the cell vectors:
1 Pr 0.000 0.310 0.310
2 Pr 0.000 0.690 0.690
3 Pr 0.310 0.000 0.310
4 Pr 0.690 0.000 0.690
5 Ho 0.208 0.208 0.000
6 Ho 0.314 0.314 0.632
7 Ho 0.314 0.682 0.000
8 Ho 0.682 0.314 0.000
9 Ho 0.682 0.682 0.368
10 In 0.723 0.723 0.000

Computed properties:
Energy above the most stable polymorph in this dataset ... 146 meV per atom
Crystal system ... tetragonal
Spin magnetization ... 0.0 μB/f.u.
ΔH_f (0 K) ... 0.6 eV/f.u.